1.
Material: ScCu2Os
Method: DFT, meta-GGA SCAN
State: single point on PBEsol structure

Cell lengths 4.810, 4.810, 4.810 Å; angles 137.92, 130.42, 67.01 degrees
Atoms (fractional coordinates):
Sc 0.000 0.000 0.000
Cu 0.257 0.757 0.500
Cu 0.491 0.491 0.000
Os 0.742 0.242 0.500

Results
Uncorrected energy (eV/atom): -29.142
SG: No. 44
Spin magnetization (μB per cell): 0.0

2.
Material: BaCaTl2Te
Method: DFT, meta-GGA SCAN
State: single point on PBEsol structure

Cell lengths 5.771, 5.771, 5.732 Å; angles 90.00, 90.00, 90.00 degrees
Atoms (fractional coordinates):
Ba 0.000 0.000 0.000
Ca 0.500 0.500 0.500
Tl 0.000 0.500 0.500
Tl 0.500 0.000 0.500
Te 0.500 0.500 0.000

Results
Uncorrected energy (eV/atom): -46.701
SG: No. 123
Spin magnetization (μB per cell): 0.0
Formation energy from raw total energies (kJ per mole of atoms): -45

3.
Material: LiTa2Al
Method: DFT, meta-GGA SCAN
State: single point on PBEsol structure

Cell lengths 2.786, 4.268, 5.628 Å; angles 90.00, 104.25, 90.00 degrees
Atoms (fractional coordinates):
Li 0.000 0.000 0.000
Ta 0.255 0.000 0.513
Ta 0.617 0.500 0.238
Al 0.875 0.500 0.754

Results
Uncorrected energy (eV/atom): -35.719
SG: No. 6
Spin magnetization (μB per cell): 0.0

4.
Material: CdCu2Pt
Method: DFT, meta-GGA SCAN
State: single point on PBEsol structure

Cell lengths 8.784, 8.784, 8.784 Å; angles 18.14, 18.14, 18.14 degrees
Atoms (fractional coordinates):
Cd 0.000 0.000 0.000
Cu 0.247 0.247 0.247
Cu 0.753 0.753 0.753
Pt 0.500 0.500 0.500

Results
Uncorrected energy (eV/atom): -32.742
SG: No. 166
Spin magnetization (μB per cell): 0.0